Here is a relaxed Sc2Zn3Co crystal from the Alexandria database. Energies are from PBE.

Properties
total magnetization: 0.6 μB/f.u.
total energy: -25.506 eV/f.u.

Unit cell a=5.1311 b=5.1311 c=5.1590 alpha=119.96 beta=119.96 gamma=59.74
Fractional coordinates of all 6 atoms:
Sc  0.1269  0.1269  0.3810
Sc  0.8731  0.8731  0.6190
Zn  0.0000  0.5000  0.0000
Zn  0.5000  0.0000  0.0000
Zn  0.5000  0.5000  0.0000
Co  0.5000  0.5000  0.5000

***

Here is a relaxed ScZn4Co crystal from the Alexandria database. Energies are from PBE.

Properties
total magnetization: 0.0 μB/f.u.
total energy: -19.694 eV/f.u.
distance to the lowest polymorph of the same formula: 13.7 meV/atom

Unit cell a=4.9846 b=4.9846 c=4.9846 alpha=60.00 beta=60.00 gamma=60.00
Fractional coordinates of all 6 atoms:
Sc  0.0000  0.0000  0.0000
Zn  0.3758  0.3758  0.3758
Zn  0.3758  0.3758  0.8727
Zn  0.3758  0.8727  0.3758
Zn  0.8727  0.3758  0.3758
Co  0.7500  0.7500  0.7500

***

Here is a relaxed Sc4ZnCo3 crystal from the Alexandria database. Energies are from PBE.

Properties
total magnetization: 0.9 μB/f.u.
total energy: -50.630 eV/f.u.

Unit cell a=4.4767 b=4.4767 c=6.4303 alpha=90.00 beta=90.00 gamma=90.00
Fractional coordinates of all 8 atoms:
Sc  0.0000  0.5000  0.2400
Sc  0.0000  0.5000  0.7600
Sc  0.5000  0.0000  0.2400
Sc  0.5000  0.0000  0.7600
Zn  0.0000  0.0000  0.5000
Co  0.0000  0.0000  0.0000
Co  0.5000  0.5000  0.0000
Co  0.5000  0.5000  0.5000

***

Here is a relaxed Sc5Zn12Co2 crystal from the Alexandria database. Energies are from PBE.

Properties
total magnetization: 0.0 μB/f.u.
total energy: -64.841 eV/f.u.

Unit cell a=7.1717 b=7.1717 c=6.9725 alpha=92.35 beta=92.35 gamma=62.46
Fractional coordinates of all 19 atoms:
Sc  0.0000  0.0000  0.0000
Sc  0.2801  0.2801  0.0194
Sc  0.3248  0.3248  0.4948
Sc  0.6752  0.6752  0.5052
Sc  0.7199  0.7199  0.9806
Zn  0.0500  0.6696  0.2468
Zn  0.0890  0.0890  0.4399
Zn  0.0902  0.6225  0.7808
Zn  0.3304  0.9500  0.7532
Zn  0.3775  0.9098  0.2192
Zn  0.4982  0.4982  0.8028
Zn  0.5018  0.5018  0.1972
Zn  0.6225  0.0902  0.7808
Zn  0.6696  0.0500  0.2468
Zn  0.9098  0.3775  0.2192
Zn  0.9110  0.9110  0.5601
Zn  0.9500  0.3304  0.7532
Co  0.3043  0.6957  0.5000
Co  0.6957  0.3043  0.5000

***

Here is a relaxed Sc6ZnCo5 crystal from the Alexandria database. Energies are from PBE.

Properties
total magnetization: 1.2 μB/f.u.
total energy: -78.913 eV/f.u.

Unit cell a=7.7380 b=7.7380 c=7.7380 alpha=146.49 beta=131.68 gamma=60.08
Fractional coordinates of all 12 atoms:
Sc  0.0743  0.3291  0.7451
Sc  0.2390  0.0000  0.2390
Sc  0.4160  0.6709  0.7451
Sc  0.5840  0.3291  0.2549
Sc  0.7610  0.0000  0.7610
Sc  0.9257  0.6709  0.2549
Zn  0.5000  0.5000  0.0000
Co  0.0000  0.5000  0.5000
Co  0.1662  0.1662  0.0000
Co  0.3348  0.8348  0.5000
Co  0.6652  0.1652  0.5000
Co  0.8338  0.8338  0.0000

***

Here is a relaxed Sc2ZnCo2 crystal from the Alexandria database. Energies are from PBE.

Properties
total magnetization: 0.8 μB/f.u.
total energy: -29.628 eV/f.u.

Unit cell a=6.5155 b=6.5155 c=3.7191 alpha=90.00 beta=90.00 gamma=90.00
Fractional coordinates of all 10 atoms:
Sc  0.1767  0.3233  0.0000
Sc  0.3233  0.8233  0.0000
Sc  0.6767  0.1767  0.0000
Sc  0.8233  0.6767  0.0000
Zn  0.0000  0.0000  0.5000
Zn  0.5000  0.5000  0.5000
Co  0.1248  0.6248  0.5000
Co  0.3752  0.1248  0.5000
Co  0.6248  0.8752  0.5000
Co  0.8752  0.3752  0.5000

***

Here is a relaxed ScZnCo3 crystal from the Alexandria database. Energies are from PBE.

Properties
total magnetization: 2.1 μB/f.u.
total energy: -22.548 eV/f.u.
distance to the lowest polymorph of the same formula: 575.7 meV/atom

Unit cell a=4.3754 b=4.3754 c=4.3754 alpha=90.00 beta=90.00 gamma=90.00
Fractional coordinates of all 5 atoms:
Sc  0.0000  0.0000  0.0000
Zn  0.5000  0.5000  0.5000
Co  0.0000  0.0000  0.5000
Co  0.0000  0.5000  0.0000
Co  0.5000  0.0000  0.0000

***

Here is a relaxed Sc5Zn4Co crystal from the Alexandria database. Energies are from PBE.

Properties
total magnetization: 0.0 μB/f.u.
total energy: -47.546 eV/f.u.

Unit cell a=3.2821 b=3.2821 c=16.7477 alpha=90.00 beta=90.00 gamma=90.00
Fractional coordinates of all 10 atoms:
Sc  0.0000  0.0000  0.0000
Sc  0.0000  0.0000  0.2044
Sc  0.0000  0.0000  0.4117
Sc  0.0000  0.0000  0.5883
Sc  0.0000  0.0000  0.7956
Zn  0.5000  0.5000  0.1022
Zn  0.5000  0.5000  0.3068
Zn  0.5000  0.5000  0.6932
Zn  0.5000  0.5000  0.8978
Co  0.5000  0.5000  0.5000

***

Here is a relaxed Sc3Zn2Co crystal from the Alexandria database. Energies are from PBE.

Properties
total magnetization: 0.0 μB/f.u.
total energy: -30.849 eV/f.u.

Unit cell a=7.2876 b=7.2876 c=3.2623 alpha=90.00 beta=90.00 gamma=142.65
Fractional coordinates of all 6 atoms:
Sc  0.0000  0.0000  0.0000
Sc  0.3478  0.6522  0.0000
Sc  0.6522  0.3478  0.0000
Zn  0.1745  0.8255  0.5000
Zn  0.8255  0.1745  0.5000
Co  0.5000  0.5000  0.5000

***

Here is a relaxed Sc4Zn3Co crystal from the Alexandria database. Energies are from PBE.

Properties
total magnetization: 0.0 μB/f.u.
total energy: -39.191 eV/f.u.

Unit cell a=3.2647 b=3.2647 c=13.4141 alpha=90.00 beta=90.00 gamma=90.00
Fractional coordinates of all 8 atoms:
Sc  0.0000  0.0000  0.1107
Sc  0.0000  0.0000  0.3712
Sc  0.0000  0.0000  0.6288
Sc  0.0000  0.0000  0.8893
Zn  0.5000  0.5000  0.2427
Zn  0.5000  0.5000  0.5000
Zn  0.5000  0.5000  0.7573
Co  0.5000  0.5000  0.0000

***

Here is a relaxed Sc2ZnCo2 crystal from the Alexandria database. Energies are from PBE.

Properties
total magnetization: 2.0 μB/f.u.
total energy: -28.377 eV/f.u.

Unit cell a=8.4123 b=8.4123 c=8.4123 alpha=157.63 beta=157.63 gamma=31.85
Fractional coordinates of all 5 atoms:
Sc  0.1151  0.1151  0.0000
Sc  0.8849  0.8849  0.0000
Zn  0.5000  0.5000  0.0000
Co  0.2500  0.7500  0.5000
Co  0.7500  0.2500  0.5000